Record 1
GGA-PBE K2TaAg, optimized geometry; E_tot = -3.101 eV/atom; polymorph energy (0 for the lowest one) = 0.326 eV per atom; DFT formation energy = 108 kJ per mole of atoms
1.0
-2.3951 -5.4826 3.0645
6.3744 2.0211 0.6847
-0.7462 1.5883 2.2584
Ag K Ta
1 2 1
Direct
0.0000 0.5000 0.5000
0.0000 0.0000 0.0000
0.5000 0.5000 0.0000
0.5000 0.0000 0.5000


Record 2
GGA-PBE LiTcSb2, optimized geometry; E_tot = -5.164 eV/atom; formation energy (no corrections) = -0.032 eV/atom; polymorph energy (0 for the lowest one) = 0.140 eV per atom
1.0
4.5511 0.0007 -0.0006
3.2926 3.1419 -0.0006
1.0370 0.4155 5.6258
Li Sb Tc
1 2 1
Direct
0.7500 0.7500 0.7500
0.9867 0.9867 0.0261
0.5133 0.5133 0.4739
0.2500 0.2500 0.2500


Record 3
GGA-PBE Ti6In2Hg, optimized geometry; E_tot = -5.853 eV/atom; polymorph energy (0 for the lowest one) = 0.000 eV per atom; DFT formation energy = 5 kJ per mole of atoms
1.0
-0.3253 -0.1691 2.8499
7.4953 -3.1878 0.6664
-1.3678 7.9302 3.2107
Ti In Hg
6 2 1
Direct
0.1667 0.3329 0.3329
0.8333 0.0000 0.6671
0.8333 0.6671 0.6671
0.5000 0.3332 0.0000
0.1667 0.0000 0.3329
0.5000 0.6668 0.0000
0.6668 0.6667 0.3334
0.3332 0.3333 0.6666
0.0000 0.0000 0.0000


Record 4
GGA-PBE BeZn2Cl, optimized geometry; E_tot = -1.614 eV/atom; formation energy (no corrections) = 0.416 eV/atom; polymorph energy (0 for the lowest one) = 0.509 eV per atom
1.0
-5.1515 2.3683 1.6641
-1.3803 -3.1943 0.2728
1.0089 -0.1509 3.3380
Be Zn Cl
1 2 1
Direct
0.5000 0.5000 0.0000
0.0000 0.0000 0.0000
0.0000 0.5000 0.5000
0.5000 0.0000 0.5000


Record 5
GGA-PBE NaPdO3, optimized geometry; E_tot = -4.918 eV/atom; formation energy (no corrections) = -0.641 eV/atom
1.0
-1.9053 -4.9193 0.6076
3.1666 -4.1897 -0.7861
1.8166 -2.9435 5.0699
Na Pd O
2 2 6
Direct
0.3592 0.3592 0.9223
0.6408 0.6408 0.0777
0.1639 0.1639 0.5084
0.8361 0.8361 0.4916
0.0466 0.4381 0.7102
0.8052 0.0466 0.7102
0.5619 0.1948 0.2898
0.1948 0.9534 0.2898
0.9534 0.5619 0.2898
0.4381 0.8052 0.7102


Record 6
GGA-PBE Ac6Er2Tm, optimized geometry; E_tot = -4.089 eV/atom; DFT formation energy = 16 kJ per mole of atoms
1.0
10.0878 0.0000 0.0000
0.0000 6.6075 -0.3399
0.0000 0.6336 10.8712
Ac Er Tm
12 4 2
Direct
0.2856 0.3508 0.6445
0.3846 0.3528 0.2932
0.1561 0.3506 0.9792
0.6561 0.1494 0.5208
0.8846 0.1472 0.2068
0.7856 0.1492 0.8555
0.7144 0.6492 0.3555
0.6154 0.6472 0.7068
0.8439 0.6494 0.0208
0.3439 0.8506 0.4792
0.1154 0.8528 0.7932
0.2144 0.8508 0.1445
0.5665 0.9815 0.1368
0.0665 0.5185 0.3632
0.9335 0.4815 0.6368
0.4335 0.0185 0.8632
0.5000 0.5000 0.0000
0.0000 0.0000 0.5000


Record 7
GGA-PBE Ti2Zn3Cu, optimized geometry; E_tot = -4.097 eV/atom; polymorph energy (0 for the lowest one) = 0.005 eV per atom; DFT formation energy = -14 kJ per mole of atoms
1.0
2.7763 0.0000 0.0000
0.0000 4.2989 0.0000
0.0000 0.0000 7.4510
Ti Zn Cu
2 3 1
Direct
0.0000 0.5000 0.0084
0.0000 0.0000 0.4920
0.5000 0.0000 0.8320
0.5000 0.0000 0.1680
0.5000 0.5000 0.6650
0.5000 0.5000 0.3346


Record 8
GGA-PBE TbPu2Cd, optimized geometry; E_tot = -8.510 eV/atom; polymorph energy (0 for the lowest one) = 0.000 eV per atom; DFT formation energy = 4 kJ per mole of atoms
1.0
-5.0009 -0.8234 -1.4502
0.7433 -4.4397 -0.0424
-1.2147 -0.2447 4.3278
Cd Tb Pu
1 1 2
Direct
0.5000 0.5000 0.5000
0.5000 0.0000 0.0000
0.0000 0.0000 0.5000
0.0000 0.5000 0.0000


What is the E_tot in the second record? -5.164 eV/atom


The lowest E_tot belongs to which entry? TbPu2Cd


Copy entry 4 word for word.
GGA-PBE BeZn2Cl, optimized geometry; E_tot = -1.614 eV/atom; formation energy (no corrections) = 0.416 eV/atom; polymorph energy (0 for the lowest one) = 0.509 eV per atom
1.0
-5.1515 2.3683 1.6641
-1.3803 -3.1943 0.2728
1.0089 -0.1509 3.3380
Be Zn Cl
1 2 1
Direct
0.5000 0.5000 0.0000
0.0000 0.0000 0.0000
0.0000 0.5000 0.5000
0.5000 0.0000 0.5000